Entry 1:
Compound: ReTc2MoO
Source: the Alexandria database
Functional: GGA+U
Structure: optimized geometry

Fermi-level density of states (states/eV/f.u.): 5.58

Lattice parameters (Å, degrees): 4.7152 4.7152 4.7502 90.00 90.00 90.00
Space group P4/mmm (No. 123)
Unique sites:
Re1 0.0000 0.0000 0.0000
Tc1 0.0000 0.5000 0.5000
Mo1 0.0000 0.0000 0.5000
O1 0.5000 0.5000 0.0000

***

Entry 2:
Compound: TiReMoO2
Source: the Alexandria database
Functional: GGA+U
Structure: optimized geometry

Fermi-level density of states (states/eV/f.u.): 3.48

Lattice parameters (Å, degrees): 3.7904 3.7904 5.4247 90.00 90.00 90.00
Space group P4/mmm (No. 123)
Unique sites:
Ti1 0.0000 0.0000 0.0000
Re1 0.5000 0.5000 0.0000
Mo1 0.5000 0.5000 0.5000
O1 0.0000 0.5000 0.5000

***

Entry 3:
Compound: TlRe2MoO8
Source: the Alexandria database
Functional: GGA+U
Structure: optimized geometry

Fermi-level density of states (states/eV/f.u.): 4.34

Lattice parameters (Å, degrees): 5.8704 5.8704 25.5405 90.00 90.00 120.00
Space group R-3m (No. 166, hexagonal axes)
Unique sites:
Tl1 0.0000 0.0000 0.0000
Re1 0.0000 0.0000 0.2389
Mo1 0.0000 0.0000 0.5000
O1 0.0000 0.0000 0.3083
O2 0.0023 0.5011 0.8810

***

Entry 4:
Compound: VReMoO6
Source: the Alexandria database
Functional: GGA+U
Structure: optimized geometry

Fermi-level density of states (states/eV/f.u.): 3.14

Lattice parameters (Å, degrees): 5.1056 5.1056 9.2671 90.00 90.00 120.00
Space group P-31c (No. 163)
Unique sites:
V1 0.3333 0.6667 0.2500
Re1 0.3333 0.6667 0.7500
Mo1 0.0000 0.0000 0.0000
O1 0.0147 0.3515 0.6338

***

Entry 5:
Compound: MoRhO4
Source: the Alexandria database
Functional: GGA+U
Structure: optimized geometry

Fermi-level density of states (states/eV/f.u.): 0.37

Lattice parameters (Å, degrees): 6.5867 6.5867 6.3108 90.00 90.00 90.00
Space group I4_1md (No. 109)
Unique sites:
Mo1 0.0000 0.0000 0.0000
Rh1 0.0000 0.0000 0.4948
O1 0.0000 0.3017 0.9955
O2 0.0000 0.3068 0.4913

***

Entry 6:
Compound: MoRhO2
Source: the Alexandria database
Functional: GGA+U
Structure: optimized geometry

Fermi-level density of states (states/eV/f.u.): 2.49

Lattice parameters (Å, degrees): 5.6716 5.6716 5.6716 90.00 90.00 90.00
Space group Fm-3m (No. 225)
Unique sites:
Mo1 0.0000 0.0000 0.0000
Rh1 0.0000 0.0000 0.5000
O1 0.2500 0.2500 0.2500

***

Entry 7:
Compound: MoRhO2
Source: the Alexandria database
Functional: GGA+U
Structure: optimized geometry

Fermi-level density of states (states/eV/f.u.): 2.80

Lattice parameters (Å, degrees): 2.7752 2.7752 20.3101 90.00 90.00 120.00
Space group R-3m (No. 166, hexagonal axes)
Unique sites:
Mo1 0.0000 0.0000 0.0000
Rh1 0.0000 0.0000 0.5000
O1 0.0000 0.0000 0.4013

***

Entry 8:
Compound: MoRhO3
Source: the Alexandria database
Functional: GGA+U
Structure: optimized geometry

Fermi-level density of states (states/eV/f.u.): 3.28

Lattice parameters (Å, degrees): 3.9088 3.9088 3.9088 90.00 90.00 90.00
Space group Pm-3m (No. 221)
Unique sites:
Mo1 0.0000 0.0000 0.0000
Rh1 0.5000 0.5000 0.5000
O1 0.0000 0.5000 0.5000

***

Entry 9:
Compound: MoRh3O7
Source: the Alexandria database
Functional: GGA+U
Structure: optimized geometry

Fermi-level density of states (states/eV/f.u.): 4.24

Lattice parameters (Å, degrees): 8.7051 8.7051 7.2811 90.00 90.00 120.00
Space group R3m (No. 160, hexagonal axes)
Unique sites:
Mo1 0.0000 0.0000 0.0000
Rh1 0.0914 0.5457 0.0840
O1 0.0000 0.0000 0.2659
O2 0.1986 0.3972 0.1936
O3 0.2217 0.1109 0.9181

***

Entry 10:
Compound: MoRh2O
Source: the Alexandria database
Functional: GGA+U
Structure: optimized geometry

Fermi-level density of states (states/eV/f.u.): 0.02

Lattice parameters (Å, degrees): 5.5515 5.5515 8.5793 90.00 90.00 90.00
Space group I-42d (No. 122)
Unique sites:
Mo1 0.0000 0.0000 0.0000
Rh1 0.1998 0.2500 0.6250
O1 0.0000 0.0000 0.5000

***

Entry 11:
Compound: MoRhO3
Source: the Alexandria database
Functional: GGA+U
Structure: optimized geometry

Fermi-level density of states (states/eV/f.u.): 4.63

Lattice parameters (Å, degrees): 3.9076 3.9076 3.9076 90.00 90.00 90.00
Space group Pm-3m (No. 221)
Unique sites:
Mo1 0.0000 0.0000 0.0000
Rh1 0.5000 0.5000 0.5000
O1 0.0000 0.0000 0.5000

***

Entry 12:
Compound: MoRhO2
Source: the Alexandria database
Functional: GGA+U
Structure: optimized geometry

Fermi-level density of states (states/eV/f.u.): 1.23

Lattice parameters (Å, degrees): 3.9969 3.9969 12.6166 90.00 90.00 90.00
Space group I-42d (No. 122)
Unique sites:
Mo1 0.0000 0.0000 0.0000
Rh1 0.0000 0.0000 0.5000
O1 0.2218 0.2500 0.1250

***

Entry 13:
Compound: Mo5Rh3O12
Source: the Alexandria database
Functional: GGA+U
Structure: optimized geometry

Fermi-level density of states (states/eV/f.u.): 10.41

Lattice parameters (Å, degrees): 12.8533 12.8533 12.8533 90.00 90.00 90.00
Space group Ia-3d (No. 230)
Unique sites:
Mo1 0.0000 0.0000 0.0000
Mo2 0.0000 0.2500 0.3750
Rh1 0.0000 0.2500 0.1250
O1 0.0298 0.0645 0.6507

***

Entry 14:
Compound: MoRhO2
Source: the Alexandria database
Functional: GGA+U
Structure: optimized geometry

Fermi-level density of states (states/eV/f.u.): 0.78

Lattice parameters (Å, degrees): 3.1298 3.1298 18.6186 90.00 90.00 120.00
Space group R-3m (No. 166, hexagonal axes)
Unique sites:
Mo1 0.0000 0.0000 0.0000
Rh1 0.0000 0.0000 0.5000
O1 0.0000 0.0000 0.1132

***

Entry 15:
Compound: Si2MoRhO
Source: the Alexandria database
Functional: GGA+U
Structure: optimized geometry

Fermi-level density of states (states/eV/f.u.): 4.01

Lattice parameters (Å, degrees): 4.8492 4.8492 3.7291 90.00 90.00 90.00
Space group P4/mmm (No. 123)
Unique sites:
Si1 0.0000 0.5000 0.0000
Mo1 0.0000 0.0000 0.0000
Rh1 0.5000 0.5000 0.5000
O1 0.0000 0.0000 0.5000

***

Entry 16:
Compound: SrMoRh2O8
Source: the Alexandria database
Functional: GGA+U
Structure: optimized geometry

Fermi-level density of states (states/eV/f.u.): 7.22

Lattice parameters (Å, degrees): 4.7978 6.5510 4.8038 90.00 92.26 90.00
Space group P2/m (No. 10)
Unique sites:
Sr1 0.0000 0.0000 0.0000
Mo1 0.0000 0.5000 0.0000
Rh1 0.5000 0.2531 0.5000
O1 0.2040 0.2955 0.2033
O2 0.3046 0.5000 0.6945
O3 0.3352 0.0000 0.6629

***

Entry 17:
Compound: SrMoRhO6
Source: the Alexandria database
Functional: GGA+U
Structure: optimized geometry

Fermi-level density of states (states/eV/f.u.): 5.37

Lattice parameters (Å, degrees): 5.3042 5.3042 5.3487 90.00 90.00 120.00
Space group P312 (No. 149)
Unique sites:
Sr1 0.0000 0.0000 0.0000
Mo1 0.3333 0.6667 0.5000
Rh1 0.6667 0.3333 0.5000
O1 0.0086 0.3825 0.7025

***

Entry 18:
Compound: Ta2MoRhO
Source: the Alexandria database
Functional: GGA+U
Structure: optimized geometry

Fermi-level density of states (states/eV/f.u.): 4.90

Lattice parameters (Å, degrees): 4.9952 4.9952 3.7193 90.00 90.00 90.00
Space group P4/mmm (No. 123)
Unique sites:
Ta1 0.0000 0.5000 0.0000
Mo1 0.0000 0.0000 0.0000
Rh1 0.5000 0.5000 0.5000
O1 0.0000 0.0000 0.5000

***

Entry 19:
Compound: TiMoRh2O
Source: the Alexandria database
Functional: GGA+U
Structure: optimized geometry

Fermi-level density of states (states/eV/f.u.): 4.58

Lattice parameters (Å, degrees): 4.3482 4.3482 3.8804 90.00 90.00 90.00
Space group P4/mmm (No. 123)
Unique sites:
Ti1 0.0000 0.0000 0.0000
Mo1 0.5000 0.5000 0.0000
Rh1 0.0000 0.5000 0.5000
O1 0.0000 0.0000 0.5000

***

Entry 20:
Compound: TiMoRhO6
Source: the Alexandria database
Functional: GGA+U
Structure: optimized geometry

Fermi-level density of states (states/eV/f.u.): 3.07

Lattice parameters (Å, degrees): 5.0901 5.0901 8.7688 90.00 90.00 120.00
Space group P-31c (No. 163)
Unique sites:
Ti1 0.3333 0.6667 0.2500
Mo1 0.3333 0.6667 0.7500
Rh1 0.0000 0.0000 0.0000
O1 0.0025 0.3422 0.1283

***

Entry 21:
Compound: TlMoRh2O8
Source: the Alexandria database
Functional: GGA+U
Structure: optimized geometry

Fermi-level density of states (states/eV/f.u.): 6.07

Lattice parameters (Å, degrees): 4.7108 6.4997 4.7163 90.00 90.32 90.00
Space group P2/m (No. 10)
Unique sites:
Tl1 0.0000 0.0000 0.0000
Mo1 0.0000 0.5000 0.0000
Rh1 0.5000 0.2569 0.5000
O1 0.2024 0.2876 0.7988
O2 0.3046 0.5000 0.3059
O3 0.3211 0.0000 0.3239

***

Across the entries above, DFT total energy takes the values -6.25 -7.55 -7.55 -7.99 -6.97 -6.03 -6.83 -6.01 -6.49 -6.07 -6.37 -6.57 -6.66 -6.45 -5.48 -6.51 -6.73 -7.60 -7.15 -7.50 -6.22 eV per atom, respectively.
Across the entries above, theoretical density takes the values 7.8 7.7 5.2 6.8 6.4 8.4 8.5 6.9 5.4 8.0 6.9 7.6 6.1 7.3 5.1 5.7 4.9 10.3 8.3 5.8 7.3 g/cm³, respectively.